# HoSc3P4

Crystalline HoSc3P4 at its relaxed geometry (PBE-GGA, the Alexandria database).

Cell and atoms, written as POSCAR:
```
HoSc3P4
1.0
3.815 -5.397 0.000
3.815 5.397 0.000
0.000 0.000 3.821
Ho Sc P
1 3 4
Direct
0.000 0.000 0.000 Ho
0.000 0.500 0.500 Sc
0.500 0.000 0.500 Sc
0.500 0.500 0.000 Sc
0.255 0.745 0.000 P
0.260 0.260 0.500 P
0.740 0.740 0.500 P
0.745 0.255 0.000 P
```

Computed properties:
Spin magnetization = 0.000 μB per formula unit
E = -57.257 eV per cell